DFT (meta-GGA SCAN) results for a crystal of ZnAs2IBr relaxed with PBEsol.

Computed properties:
Raw formation energy in kJ per mole of atoms: 109.9
SG: P4/mmm (123)
Uncorrected energy in eV per cell: -104.4
Size of the total moment in μB/cell: 2.3

a = 5.3820 Å, b = 5.3820 Å, c = 5.6877 Å
α = 90.00°, β = 90.00°, γ = 90.00°
Sites, in units of the cell vectors:
Zn1 0.0000 0.0000 0.0000
As1 0.0000 0.5000 0.5000
As2 0.5000 0.0000 0.5000
I1 0.5000 0.5000 0.5000
Br1 0.5000 0.5000 0.0000

DFT (meta-GGA SCAN) results for a crystal of ZrAs2IBr relaxed with PBEsol.

Computed properties:
Raw formation energy in kJ per mole of atoms: 105.7
SG: P4/mmm (123)
Uncorrected energy in eV per cell: -121.8
Size of the total moment in μB/cell: 1.2

a = 5.2332 Å, b = 5.2332 Å, c = 5.3244 Å
α = 90.00°, β = 90.00°, γ = 90.00°
Sites, in units of the cell vectors:
Zr1 0.0000 0.0000 0.0000
As1 0.0000 0.5000 0.5000
As2 0.5000 0.0000 0.5000
I1 0.5000 0.5000 0.5000
Br1 0.5000 0.5000 0.0000

DFT (meta-GGA SCAN) results for a crystal of InAs2Br relaxed with PBEsol.

Computed properties:
Raw formation energy in kJ per mole of atoms: -13.9
SG: P1 (1)
Uncorrected energy in eV per cell: -93.8
Energy above the lowest structure with this stoichiometry in eV/atom: 0.000
Size of the total moment in μB/cell: 0.0

a = 3.5806 Å, b = 5.0748 Å, c = 5.8449 Å
α = 73.57°, β = 89.86°, γ = 89.96°
Sites, in units of the cell vectors:
In1 0.0000 0.0000 0.0000
As1 0.0008 0.8814 0.5223
As2 0.5009 0.5408 0.6029
Br1 0.5007 0.4696 0.1293

DFT (meta-GGA SCAN) results for a crystal of InAs2Br relaxed with PBEsol.

Computed properties:
Raw formation energy in kJ per mole of atoms: 44.2
SG: I4/mmm (139)
Uncorrected energy in eV per cell: -91.4
Energy above the lowest structure with this stoichiometry in eV/atom: 0.603
Size of the total moment in μB/cell: 0.0

a = 4.9164 Å, b = 4.9164 Å, c = 4.9164 Å
α = 119.67°, β = 119.67°, γ = 90.57°
Sites, in units of the cell vectors:
In1 0.0000 0.0000 0.0000
As1 0.2500 0.7500 0.5000
As2 0.7500 0.2500 0.5000
Br1 0.5000 0.5000 0.0000

DFT (meta-GGA SCAN) results for a crystal of InAsBr3 relaxed with PBEsol.

Computed properties:
Raw formation energy in kJ per mole of atoms: -34.0
SG: Pm-3m (221)
Uncorrected energy in eV per cell: -113.7
Size of the total moment in μB/cell: 0.0

a = 5.3317 Å, b = 5.3317 Å, c = 5.3317 Å
α = 90.00°, β = 90.00°, γ = 90.00°
Sites, in units of the cell vectors:
In1 0.0000 0.0000 0.0000
As1 0.5000 0.5000 0.5000
Br1 0.0000 0.5000 0.5000
Br2 0.5000 0.0000 0.5000
Br3 0.5000 0.5000 0.0000

DFT (meta-GGA SCAN) results for a crystal of InAs2OsBr relaxed with PBEsol.

Computed properties:
Raw formation energy in kJ per mole of atoms: 36.6
SG: P4/mmm (123)
Uncorrected energy in eV per cell: -163.2
Size of the total moment in μB/cell: 0.0

a = 4.6936 Å, b = 4.6936 Å, c = 5.5261 Å
α = 90.00°, β = 90.00°, γ = 90.00°
Sites, in units of the cell vectors:
In1 0.0000 0.0000 0.0000
As1 0.0000 0.5000 0.5000
As2 0.5000 0.0000 0.5000
Os1 0.5000 0.5000 0.5000
Br1 0.5000 0.5000 0.0000

DFT (meta-GGA SCAN) results for a crystal of InAs2PBr relaxed with PBEsol.

Computed properties:
Raw formation energy in kJ per mole of atoms: 98.6
SG: P4/mmm (123)
Uncorrected energy in eV per cell: -98.5
Size of the total moment in μB/cell: 0.2

a = 5.2214 Å, b = 5.2214 Å, c = 5.1304 Å
α = 90.00°, β = 90.00°, γ = 90.00°
Sites, in units of the cell vectors:
In1 0.0000 0.0000 0.0000
As1 0.0000 0.5000 0.0000
As2 0.5000 0.0000 0.0000
P1 0.5000 0.5000 0.5000
Br1 0.0000 0.0000 0.5000

DFT (meta-GGA SCAN) results for a crystal of InAs2PbBr relaxed with PBEsol.

Computed properties:
Raw formation energy in kJ per mole of atoms: 35.1
SG: P4/mmm (123)
Uncorrected energy in eV per cell: -167.2
Size of the total moment in μB/cell: 0.0

a = 5.1617 Å, b = 5.1617 Å, c = 5.3832 Å
α = 90.00°, β = 90.00°, γ = 90.00°
Sites, in units of the cell vectors:
In1 0.0000 0.0000 0.0000
As1 0.0000 0.5000 0.0000
As2 0.5000 0.0000 0.0000
Pb1 0.5000 0.5000 0.5000
Br1 0.0000 0.0000 0.5000